LaCePuSn PBE optimized geometry; formation enthalpy at 0 K = -0.18 eV/atom
1.0
0.0000 3.8381 3.8381
3.8381 0.0000 3.8381
3.8381 3.8381 0.0000
La Ce Pu Sn
1 1 1 1
Cartesian
0.0000 0.0000 0.0000
5.7572 5.7572 5.7572
3.8381 3.8381 3.8381
1.9191 1.9191 1.9191

=====

K2NaCdI6 PBE optimized geometry; ΔE_f (raw) = -0.974 eV per atom
1.0
6.7408 0.0000 0.0000
3.3512 7.5406 0.0000
3.2850 1.4646 8.9346
K Na Cd I
2 1 1 6
Cartesian
0.0000 0.0000 0.0000
6.7134 4.4991 4.8965
3.3047 1.9236 1.6096
9.6088 5.9059 8.0481
5.0038 7.3067 3.3364
6.7343 5.6052 8.2580
10.0332 8.6790 7.8135
8.3829 7.3605 3.3319
6.9314 3.1919 1.6033
10.1022 3.9367 6.0719

=====

Zr2AlCo6 PBE optimized geometry; formation enthalpy at 0 K = 0.06 eV/atom
1.0
7.1232 0.0000 0.0000
-3.5616 6.1689 0.0000
0.0000 0.0000 2.7704
Zr Al Co
2 1 6
Cartesian
0.0000 4.1126 0.0000
3.5616 2.0563 0.0000
0.0000 0.0000 1.3852
-1.2490 2.1634 1.3852
-2.5458 4.4095 0.0000
1.0158 1.7594 0.0000
2.4981 0.0000 1.3852
2.3126 4.0055 1.3852
5.0917 0.0000 0.0000

=====

Mn2V2In PBE optimized geometry; formation enthalpy at 0 K = 0.16 eV/atom
1.0
7.0796 0.0000 0.0000
0.0000 7.0796 0.0000
0.0000 0.0000 2.9064
Mn V In
4 4 2
Cartesian
0.9304 2.6094 0.0000
2.6094 6.1492 0.0000
4.4703 0.9304 0.0000
6.1492 4.4703 0.0000
1.1299 4.6697 1.4532
2.4099 1.1299 1.4532
4.6697 5.9497 1.4532
5.9497 2.4099 1.4532
0.0000 0.0000 0.0000
3.5398 3.5398 0.0000

=====

TcRh2Cl PBE optimized geometry; relative energy among the computed polymorphs = 364 meV per atom; ΔE_f (raw) = 0.537 eV per atom
1.0
-1.4145 2.2212 4.7263
1.4145 -2.2212 4.7263
1.4145 2.2212 -4.7263
Tc Rh Cl
1 2 1
Cartesian
0.0000 0.0000 0.0000
0.0000 0.0000 4.1995
0.0000 2.2212 2.3607
1.4145 0.0000 1.9445

=====

KLi2Co PBE optimized geometry; relative energy among the computed polymorphs = 17 meV per atom; formation enthalpy at 0 K = 0.54 eV/atom
1.0
4.5115 -1.4037 0.0000
4.5115 1.4037 0.0000
-0.3826 0.0000 7.4097
K Li Co
1 2 1
Cartesian
0.0000 0.0000 0.0000
1.9039 0.0000 4.5176
4.2534 0.0000 3.1964
6.6776 0.0000 2.3749

=====

no.,V (Å³/cell),total magnetization (Bohr magnetons per cell)
1,113,8.7
2,454,0.0
3,122,4.3
4,146,4.5
5,59,0.0
6,94,1.3